Entry from Alexandria: crystalline Ga6Rh5 at its relaxed geometry (PBE).

## Properties
E_tot (eV per atom): -5.633

Unit cell a=4.294 b=5.887 c=12.867 alpha=90.00 beta=90.00 gamma=90.00
Space group Immm (No. 71)
Unique sites:
Ga: 0.000 0.231 0.000 [4 per cell]
Ga: 0.000 0.260 0.339 [8 per cell]
Rh: 0.000 0.000 0.173 [4 per cell]
Rh: 0.000 0.000 0.500 [2 per cell]
Rh: 0.000 0.500 0.160 [4 per cell]